PBE InGa2TcTe, optimized geometry; magnetic moment = 2.03 μB per formula unit; ΔE_f (raw) = 22.29 kcal/mol of atoms; E = -3.4935 eV per atom; SG = P4/mmm (123)
1.0
5.466 0.000 0.000
0.000 5.466 0.000
0.000 0.000 5.026
In Ga Tc Te
1 2 1 1
Direct
0.000 0.000 0.000
0.000 0.500 0.500
0.500 0.000 0.500
0.500 0.500 0.000
0.500 0.500 0.500

PBE RbLa2InIr, optimized geometry; magnetic moment = 0.00 μB per formula unit; E = -4.7082 eV per atom; ΔE_f = -0.22 eV/atom; SG = P4/mmm (123)
1.0
5.677 0.000 0.000
0.000 5.677 0.000
0.000 0.000 5.415
Rb La In Ir
1 2 1 1
Direct
0.000 0.000 0.000
0.000 0.500 0.500
0.500 0.000 0.500
0.500 0.500 0.000
0.500 0.500 0.500

PBE Tm5PuS6, optimized geometry; magnetic moment = 6.02 μB per formula unit; ΔE_f (raw) = -44.38 kcal/mol of atoms; E = -7.0456 eV per atom; SG = C2/m (12)
1.0
3.337 -5.790 0.000
3.337 5.790 0.000
-2.230 0.000 6.312
Tm Pu S
5 1 6
Direct
0.000 0.000 0.000
0.167 0.833 0.500
0.334 0.666 0.000
0.666 0.334 0.000
0.833 0.167 0.500
0.500 0.500 0.500
0.077 0.415 0.246
0.245 0.245 0.752
0.415 0.077 0.246
0.585 0.923 0.754
0.755 0.755 0.248
0.923 0.585 0.754

PBE CsNi3Ge, optimized geometry; magnetic moment = 1.17 μB per formula unit; E = -3.9126 eV per atom; ΔE_f = 0.65 eV/atom; SG = Pm-3m (221)
1.0
4.664 0.000 0.000
0.000 4.664 0.000
0.000 0.000 4.664
Cs Ni Ge
1 3 1
Direct
0.000 0.000 0.000
0.000 0.500 0.500
0.500 0.000 0.500
0.500 0.500 0.000
0.500 0.500 0.500

PBE RbBa2Ru, optimized geometry; magnetic moment = 0.00 μB per formula unit; E = -3.0882 eV per atom; ΔE_f = 0.43 eV/atom; SG = I-42d (122)
1.0
-4.464 4.464 6.317
4.464 -4.464 6.317
4.464 4.464 -6.317
Rb Ba Ru
2 4 2
Direct
0.000 0.000 0.000
0.750 0.250 0.500
0.374 0.125 0.749
0.375 0.626 0.751
0.376 0.625 0.251
0.875 0.624 0.249
0.250 0.750 0.500
0.500 0.500 0.000

PBE PrAs2Ir, optimized geometry; magnetic moment = 0.00 μB per formula unit; E = -6.5256 eV per atom; ΔE_f = -0.79 eV/atom; SG = F222 (22)
1.0
0.000 2.959 5.097
2.955 0.000 5.097
2.955 2.959 0.000
Pr As Ir
1 2 1
Direct
0.000 0.000 0.000
0.370 0.370 0.630
0.630 0.630 0.370
0.250 0.250 0.250

PBE Y2Mo, optimized geometry; magnetic moment = 0.00 μB per formula unit; E = -7.3551 eV per atom; ΔE_f = 0.56 eV/atom; SG = P4/mmm (123)
1.0
5.152 0.000 0.000
0.000 5.152 0.000
0.000 0.000 3.203
Y Mo
2 1
Direct
0.000 0.500 0.000
0.500 0.000 0.000
0.000 0.000 0.500

PBE CeSi2Ir4, optimized geometry; magnetic moment = 0.25 μB per formula unit; ΔE_f (raw) = -17.89 kcal/mol of atoms; E = -8.2363 eV per atom; SG = P4_2/mnm (136)
1.0
7.672 0.000 0.000
0.000 7.672 0.000
0.000 0.000 3.847
Ce Si Ir
2 4 8
Direct
0.000 0.000 0.000
0.500 0.500 0.500
0.228 0.228 0.500
0.272 0.728 0.000
0.728 0.272 0.000
0.772 0.772 0.500
0.075 0.668 0.500
0.168 0.425 0.000
0.332 0.925 0.500
0.425 0.168 0.000
0.575 0.832 0.000
0.668 0.075 0.500
0.832 0.575 0.000
0.925 0.332 0.500

The highest E belongs to which entry? RbBa2Ru